Record 1
# Dy8IrPb2

Crystalline Dy8IrPb2 at its relaxed geometry (PBE, the Alexandria database).

Calculated values
Formation energy from the elements ... -0.375 eV/atom

Cell lengths 5.014, 6.704, 10.059 Å; angles 105.30, 104.43, 90.00 degrees
Fractional coordinates of all 11 atoms:
Dy  0.019  0.787  0.039
Dy  0.218  0.327  0.435
Dy  0.782  0.673  0.565
Dy  0.981  0.213  0.961
Pb  0.819  0.239  0.637
Dy  0.412  0.546  0.824
Dy  0.644  0.004  0.288
Dy  0.588  0.454  0.176
Dy  0.356  0.996  0.712
Pb  0.181  0.761  0.363
Ir  0.500  0.000  0.000

=====

Record 2
# Dy5Ir2Pb

Crystalline Dy5Ir2Pb at its relaxed geometry (PBE, the Alexandria database).

Calculated values
Formation energy from the elements ... -0.701 eV/atom

Cell lengths 7.806, 7.806, 8.760 Å; angles 116.46, 116.46, 90.00 degrees
Fractional coordinates of all 16 atoms:
Dy  0.000  0.000  0.000
Dy  0.290  0.790  0.264
Dy  0.790  0.974  0.264
Dy  0.974  0.474  0.264
Ir  0.640  0.140  0.000
Dy  0.710  0.210  0.736
Dy  0.026  0.526  0.736
Dy  0.500  0.500  0.000
Pb  0.750  0.750  0.500
Pb  0.250  0.250  0.500
Dy  0.474  0.290  0.264
Dy  0.210  0.026  0.736
Ir  0.860  0.640  0.000
Ir  0.140  0.360  0.000
Ir  0.360  0.860  0.000
Dy  0.526  0.710  0.736

=====

Record 3
# Dy6IrPb2

Crystalline Dy6IrPb2 at its relaxed geometry (PBE, the Alexandria database).

Calculated values
Formation energy from the elements ... -0.378 eV/atom

Cell lengths 5.201, 7.150, 8.719 Å; angles 114.21, 107.34, 90.00 degrees
Fractional coordinates of all 9 atoms:
Dy  0.500  0.775  0.000
Dy  0.852  0.611  0.704
Dy  0.148  0.389  0.296
Dy  0.148  0.907  0.296
Pb  0.325  0.325  0.650
Dy  0.852  0.093  0.704
Ir  0.000  0.000  0.000
Dy  0.500  0.225  0.000
Pb  0.675  0.675  0.350

=====

Record 4
# DyIrPdPb

Crystalline DyIrPdPb at its relaxed geometry (PBE, the Alexandria database).

Calculated values
Formation energy from the elements ... -0.467 eV/atom

Cell lengths 4.829, 4.829, 4.829 Å; angles 60.00, 60.00, 60.00 degrees
Fractional coordinates of all 4 atoms:
Pb  0.250  0.250  0.250
Pd  0.000  0.000  0.000
Ir  0.500  0.500  0.500
Dy  0.750  0.750  0.750

=====

Record 5
# DyIrRhPb

Crystalline DyIrRhPb at its relaxed geometry (PBE, the Alexandria database).

Calculated values
Formation energy from the elements ... -0.405 eV/atom

Cell lengths 4.776, 4.776, 4.776 Å; angles 60.00, 60.00, 60.00 degrees
Fractional coordinates of all 4 atoms:
Rh  0.500  0.500  0.500
Ir  0.000  0.000  0.000
Pb  0.750  0.750  0.750
Dy  0.250  0.250  0.250

=====

Record 6
# Dy6Ir2PbSe3

Crystalline Dy6Ir2PbSe3 at its relaxed geometry (PBE, the Alexandria database).

Calculated values
Formation energy (no corrections) ... -1202 meV/atom

Cell lengths 4.036, 8.598, 9.678 Å; angles 111.53, 102.03, 90.00 degrees
Fractional coordinates of all 12 atoms:
Ir  0.155  0.298  0.310
Se  0.835  0.181  0.671
Dy  0.676  0.092  0.352
Ir  0.845  0.702  0.690
Dy  0.318  0.454  0.635
Se  0.165  0.819  0.329
Se  0.500  0.500  0.000
Dy  0.998  0.270  0.996
Dy  0.002  0.730  0.004
Dy  0.324  0.908  0.648
Pb  0.500  0.000  0.000
Dy  0.682  0.546  0.365

=====

Record 7
# DyYIrPb

Crystalline DyYIrPb at its relaxed geometry (PBE, the Alexandria database).

Calculated values
Formation energy from the elements ... -0.676 eV/atom
Relative energy among the computed polymorphs ... 0.0 kJ/mol of atoms

Cell lengths 3.500, 3.500, 8.030 Å; angles 90.00, 90.00, 90.00 degrees
Fractional coordinates of all 4 atoms:
Ir  0.000  0.000  0.569
Y  0.500  0.500  0.777
Dy  0.500  0.500  0.367
Pb  0.000  0.000  0.071

=====

Record 8
# DyYIrPb

Crystalline DyYIrPb at its relaxed geometry (PBE, the Alexandria database).

Calculated values
Formation energy from the elements ... -0.485 eV/atom
Relative energy among the computed polymorphs ... 18.5 kJ/mol of atoms

Cell lengths 5.139, 5.139, 5.139 Å; angles 60.00, 60.00, 60.00 degrees
Fractional coordinates of all 4 atoms:
Dy  0.750  0.750  0.750
Ir  0.500  0.500  0.500
Y  0.250  0.250  0.250
Pb  0.000  0.000  0.000

=====

Number 1: D(E_F) 0.818 states/eV per atom, size of the total moment 0.00 μB/cell. Number 2: D(E_F) 1.028 states/eV per atom, size of the total moment 0.00 μB/cell. Number 3: D(E_F) 0.693 states/eV per atom, size of the total moment 0.00 μB/cell. Number 4: D(E_F) 0.888 states/eV per atom, size of the total moment 0.00 μB/cell. Number 5: D(E_F) 1.031 states/eV per atom, size of the total moment 0.00 μB/cell. Number 6: D(E_F) 0.302 states/eV per atom, size of the total moment 0.00 μB/cell. Number 7: D(E_F) 0.408 states/eV per atom, size of the total moment 0.00 μB/cell. Number 8: D(E_F) 0.899 states/eV per atom, size of the total moment 0.00 μB/cell.